# 1
{
  "formula": "SiAgTe",
  "functional": "PBE",
  "state": "optimized geometry",
  "lattice_angstrom": [[-4.6071, 1.1819, -1.8031], [0.6117, -1.0143, 4.9468], [0.5314, 2.8684, 0.5225]],
  "species": ["Ag", "Si", "Te"],
  "fractional_positions": [[0.0000, 0.0000, 0.0001], [0.6667, 0.3333, 0.4983], [0.3333, 0.6667, 0.5016]],
  "m_tot_mub_per_fu": 0.00,
  "dos_at_fermi_per_ev_atom": 0.7561,
  "e_above_lowest_polymorph_ev_per_fu": 0.79,
  "formation_energy_uncorrected_mev_per_atom": 496
}

=====

# 2
{
  "formula": "SiAgTe",
  "functional": "PBE",
  "state": "optimized geometry",
  "lattice_angstrom": [[4.7115, 0.0000, 0.0000], [2.3558, 4.0803, 0.0000], [2.3558, 1.3601, 3.8469]],
  "species": ["Ag", "Si", "Te"],
  "fractional_positions": [[0.7500, 0.7500, 0.7500], [0.0000, 0.0000, 0.0000], [0.5000, 0.5000, 0.5000]],
  "m_tot_mub_per_fu": 0.00,
  "dos_at_fermi_per_ev_atom": 0.5693,
  "e_above_lowest_polymorph_ev_per_fu": 0.59,
  "formation_energy_uncorrected_mev_per_atom": 428
}

=====

# 3
{
  "formula": "Si3AgTe",
  "functional": "PBE",
  "state": "optimized geometry",
  "lattice_angstrom": [[-3.9548, -2.8293, 0.5528], [2.1950, -3.5638, -2.5363], [1.8688, -1.8016, 4.1488]],
  "species": ["Si", "Si", "Si", "Te", "Ag"],
  "fractional_positions": [[0.0000, 0.5000, 0.0000], [0.0000, 0.0000, 0.5000], [0.5000, 0.0000, 0.0000], [0.5000, 0.5000, 0.5000], [0.0000, 0.0000, 0.0000]],
  "m_tot_mub_per_fu": 0.00,
  "dos_at_fermi_per_ev_atom": 0.5011,
  "e_above_lowest_polymorph_ev_per_fu": 0.00,
  "formation_energy_uncorrected_mev_per_atom": 934
}

=====

Question: Number 1 is which compound?
Answer: SiAgTe

=====

Question: What is the formula in the first record?
Answer: SiAgTe

=====

Repeat the second record exactly.
{
  "formula": "SiAgTe",
  "functional": "PBE",
  "state": "optimized geometry",
  "lattice_angstrom": [[4.7115, 0.0000, 0.0000], [2.3558, 4.0803, 0.0000], [2.3558, 1.3601, 3.8469]],
  "species": ["Ag", "Si", "Te"],
  "fractional_positions": [[0.7500, 0.7500, 0.7500], [0.0000, 0.0000, 0.0000], [0.5000, 0.5000, 0.5000]],
  "m_tot_mub_per_fu": 0.00,
  "dos_at_fermi_per_ev_atom": 0.5693,
  "e_above_lowest_polymorph_ev_per_fu": 0.59,
  "formation_energy_uncorrected_mev_per_atom": 428
}